DyGe2Ir after structural relaxation, computed with PBE.

It has space group Immm (No. 71), with a = 4.290 Å, b = 8.897 Å, c = 16.062 Å, α = 90.00°, β = 90.00° and γ = 90.00°. The distinct sites, in fractional coordinates, are Dy at (0.000, 0.000, 0.206), Dy at (0.000, 0.239, 0.000), Ge at (0.000, 0.000, 0.422), Ge at (0.000, 0.348, 0.200), Ge at (0.000, 0.500, 0.423) and Ir at (0.000, 0.250, 0.354).

The raw total energy is -0.238 Ha/atom.


NdYGa2 after structural relaxation, computed with PBE.

It has space group Amm2 (No. 38), with a = 4.118 Å, b = 4.413 Å, c = 11.122 Å, α = 90.00°, β = 90.00° and γ = 90.00°. The distinct sites, in fractional coordinates, are Nd at (0.000, 0.000, 0.000), Y at (0.500, 0.000, 0.279), Ga at (0.000, 0.000, 0.718) and Ga at (0.500, 0.000, 0.570).

The raw total energy is -0.182 Ha/atom.


MoBr after structural relaxation, computed with PBE.

It has space group P-6m2 (No. 187), with a = 3.0765 Å, b = 3.0765 Å, c = 4.3479 Å, α = 90.00°, β = 90.00° and γ = 120.00°. The distinct sites, in fractional coordinates, are Mo at (0.0000, 0.0000, 0.0000) and Br at (0.3333, 0.6667, 0.5000).

The polymorph energy (0 for the lowest one) is 0.138 eV per atom. The raw total energy is -0.195 Ha/atom.